Arrangement a

Computed, not measured: a relaxed structure of Pm3PrTe4 at the PBE-GGA level of DFT.

Geometry as CIF:
```
data_Pm3PrTe4
_chemical_formula_sum 'Pm3 Pr1 Te4'
_cell_length_a 4.439
_cell_length_b 7.790
_cell_length_c 7.790
_cell_angle_alpha 108.97
_cell_angle_beta 90.00
_cell_angle_gamma 90.00
_symmetry_space_group_name_H-M 'P 1'
_symmetry_Int_Tables_number 1
_symmetry_space_group_name_Hall 'P 1'
loop_
_atom_site_label
_atom_site_type_symbol
_atom_site_fract_x
_atom_site_fract_y
_atom_site_fract_z
Pm1 Pm 0.000 0.000 0.500
Pm2 Pm 0.500 0.500 0.500
Pm3 Pm 0.000 0.500 0.000
Pr1 Pr 0.500 0.000 0.000
Te1 Te 0.000 0.253 0.253
Te2 Te 0.500 0.748 0.252
Te3 Te 0.000 0.747 0.747
Te4 Te 0.500 0.252 0.748
```

Summary:
Space group: Cmmm



Arrangement b

Computed, not measured: a relaxed structure of Pm3PrTe4 at the PBE-GGA level of DFT.

Geometry as CIF:
```
data_Pm3PrTe4
_chemical_formula_sum 'Pm6 Pr2 Te8'
_cell_length_a 4.414
_cell_length_b 4.414
_cell_length_c 30.215
_cell_angle_alpha 90.00
_cell_angle_beta 90.00
_cell_angle_gamma 120.00
_symmetry_space_group_name_H-M 'P 1'
_symmetry_Int_Tables_number 1
_symmetry_space_group_name_Hall 'P 1'
loop_
_atom_site_label
_atom_site_type_symbol
_atom_site_fract_x
_atom_site_fract_y
_atom_site_fract_z
Pr1 Pr 0.667 0.333 0.750
Pr2 Pr 0.333 0.667 0.250
Te1 Te 0.667 0.333 0.938
Te2 Te 0.333 0.667 0.062
Te3 Te 0.333 0.667 0.438
Te4 Te 0.667 0.333 0.562
Te5 Te 0.000 0.000 0.815
Te6 Te 0.000 0.000 0.185
Te7 Te 0.000 0.000 0.315
Te8 Te 0.000 0.000 0.685
Pm1 Pm 0.000 0.000 0.000
Pm2 Pm 0.000 0.000 0.500
Pm3 Pm 0.333 0.667 0.877
Pm4 Pm 0.667 0.333 0.123
Pm5 Pm 0.667 0.333 0.377
Pm6 Pm 0.333 0.667 0.623
```

Summary:
Space group: P6_3/mmc



The data favor arrangement a; the next most stable structure lies 7 meV/atom above it.



Arrangement a

Computed, not measured: a relaxed structure of PmPrTe at the PBE-GGA level of DFT.

Geometry as CIF:
```
data_PmPrTe
_chemical_formula_sum 'Pm2 Pr2 Te2'
_cell_length_a 5.809
_cell_length_b 3.728
_cell_length_c 9.499
_cell_angle_alpha 101.32
_cell_angle_beta 107.80
_cell_angle_gamma 90.00
_symmetry_space_group_name_H-M 'P 1'
_symmetry_Int_Tables_number 1
_symmetry_space_group_name_Hall 'P 1'
loop_
_atom_site_label
_atom_site_type_symbol
_atom_site_fract_x
_atom_site_fract_y
_atom_site_fract_z
Te1 Te 0.638 0.138 0.275
Te2 Te 0.362 0.862 0.725
Pm1 Pm 0.744 0.500 0.000
Pm2 Pm 0.256 0.500 0.000
Pr1 Pr 0.182 0.682 0.363
Pr2 Pr 0.818 0.318 0.637
```

Summary:
Space group: Immm



Arrangement b

Computed, not measured: a relaxed structure of PmPrTe at the PBE-GGA level of DFT.

Geometry as CIF:
```
data_PmPrTe
_chemical_formula_sum 'Pm1 Pr1 Te1'
_cell_length_a 7.105
_cell_length_b 4.149
_cell_length_c 4.149
_cell_angle_alpha 120.00
_cell_angle_beta 90.00
_cell_angle_gamma 90.00
_symmetry_space_group_name_H-M 'P 1'
_symmetry_Int_Tables_number 1
_symmetry_space_group_name_Hall 'P 1'
loop_
_atom_site_label
_atom_site_type_symbol
_atom_site_fract_x
_atom_site_fract_y
_atom_site_fract_z
Pr1 Pr 0.295 0.333 0.667
Te1 Te 0.997 0.000 0.000
Pm1 Pm 0.708 0.667 0.333
```

Summary:
Space group: P3m1



The data favor arrangement b; the next most stable structure lies 257 meV/atom above it.



Arrangement a

Computed, not measured: a relaxed structure of PmPrTh2 at the PBE-GGA level of DFT.

Geometry as CIF:
```
data_PmPrTh2
_chemical_formula_sum 'Pm1 Pr1 Th2'
_cell_length_a 3.541
_cell_length_b 3.541
_cell_length_c 12.734
_cell_angle_alpha 82.01
_cell_angle_beta 82.01
_cell_angle_gamma 60.00
_symmetry_space_group_name_H-M 'P 1'
_symmetry_Int_Tables_number 1
_symmetry_space_group_name_Hall 'P 1'
loop_
_atom_site_label
_atom_site_type_symbol
_atom_site_fract_x
_atom_site_fract_y
_atom_site_fract_z
Pr1 Pr 0.000 0.000 0.000
Th1 Th 0.088 0.088 0.736
Th2 Th 0.912 0.912 0.264
Pm1 Pm 0.500 0.500 0.500
```

Summary:
Space group: R-3m



Arrangement b

Computed, not measured: a relaxed structure of PmPrTh2 at the PBE-GGA level of DFT.

Geometry as CIF:
```
data_PmPrTh2
_chemical_formula_sum 'Pm1 Pr1 Th2'
_cell_length_a 3.614
_cell_length_b 3.614
_cell_length_c 12.058
_cell_angle_alpha 81.38
_cell_angle_beta 81.38
_cell_angle_gamma 60.00
_symmetry_space_group_name_H-M 'P 1'
_symmetry_Int_Tables_number 1
_symmetry_space_group_name_Hall 'P 1'
loop_
_atom_site_label
_atom_site_type_symbol
_atom_site_fract_x
_atom_site_fract_y
_atom_site_fract_z
Pm1 Pm 0.499 0.499 0.504
Pr1 Pr 0.668 0.668 0.995
Th1 Th 0.084 0.084 0.748
Th2 Th 0.249 0.249 0.253
```

Summary:
Space group: R3m



Arrangement c

Computed, not measured: a relaxed structure of PmPrTh2 at the PBE-GGA level of DFT.

Geometry as CIF:
```
data_PmPrTh2
_chemical_formula_sum 'Pm2 Pr2 Th4'
_cell_length_a 14.735
_cell_length_b 14.735
_cell_length_c 3.564
_cell_angle_alpha 90.27
_cell_angle_beta 90.27
_cell_angle_gamma 156.75
_symmetry_space_group_name_H-M 'P 1'
_symmetry_Int_Tables_number 1
_symmetry_space_group_name_Hall 'P 1'
loop_
_atom_site_label
_atom_site_type_symbol
_atom_site_fract_x
_atom_site_fract_y
_atom_site_fract_z
Pm1 Pm 0.354 0.646 0.250
Pm2 Pm 0.646 0.354 0.750
Pr1 Pr 0.500 0.000 0.500
Pr2 Pr 0.000 0.500 0.000
Th1 Th 0.196 0.298 0.529
Th2 Th 0.804 0.702 0.471
Th3 Th 0.702 0.804 0.971
Th4 Th 0.298 0.196 0.029
```

Summary:
Space group: C2/c



Arrangement d

Computed, not measured: a relaxed structure of PmPrTh2 at the PBE-GGA level of DFT.

Geometry as CIF:
```
data_PmPrTh2
_chemical_formula_sum 'Pm2 Pr2 Th4'
_cell_length_a 5.088
_cell_length_b 5.119
_cell_length_c 11.510
_cell_angle_alpha 90.00
_cell_angle_beta 116.10
_cell_angle_gamma 90.00
_symmetry_space_group_name_H-M 'P 1'
_symmetry_Int_Tables_number 1
_symmetry_space_group_name_Hall 'P 1'
loop_
_atom_site_label
_atom_site_type_symbol
_atom_site_fract_x
_atom_site_fract_y
_atom_site_fract_z
Pm1 Pm 0.862 0.750 0.363
Pm2 Pm 0.138 0.250 0.637
Pr1 Pr 0.363 0.250 0.364
Pr2 Pr 0.637 0.750 0.636
Th1 Th 0.617 0.250 0.117
Th2 Th 0.383 0.750 0.883
Th3 Th 0.118 0.750 0.118
Th4 Th 0.882 0.250 0.882
```

Summary:
Space group: P2_1/m



The data favor arrangement d; the next most stable structure lies 35 meV/atom above it.



Arrangement a

Computed, not measured: a relaxed structure of Pm2Pr4Th at the PBE-GGA level of DFT.

Geometry as CIF:
```
data_Pm2Pr4Th
_chemical_formula_sum 'Pm2 Pr4 Th1'
_cell_length_a 3.502
_cell_length_b 6.068
_cell_length_c 12.154
_cell_angle_alpha 104.45
_cell_angle_beta 90.00
_cell_angle_gamma 90.00
_symmetry_space_group_name_H-M 'P 1'
_symmetry_Int_Tables_number 1
_symmetry_space_group_name_Hall 'P 1'
loop_
_atom_site_label
_atom_site_type_symbol
_atom_site_fract_x
_atom_site_fract_y
_atom_site_fract_z
Pm1 Pm 0.500 0.215 0.429
Pm2 Pm 0.500 0.785 0.571
Pr1 Pr 0.500 0.633 0.266
Pr2 Pr 0.000 0.923 0.846
Pr3 Pr 0.500 0.367 0.734
Pr4 Pr 0.000 0.077 0.154
Th1 Th 0.000 0.500 0.000
```

Summary:
Space group: Cmmm



Arrangement b

Computed, not measured: a relaxed structure of Pm2Pr4Th at the PBE-GGA level of DFT.

Geometry as CIF:
```
data_Pm2Pr4Th
_chemical_formula_sum 'Pm2 Pr4 Th1'
_cell_length_a 3.640
_cell_length_b 3.640
_cell_length_c 21.893
_cell_angle_alpha 85.23
_cell_angle_beta 85.23
_cell_angle_gamma 60.00
_symmetry_space_group_name_H-M 'P 1'
_symmetry_Int_Tables_number 1
_symmetry_space_group_name_Hall 'P 1'
loop_
_atom_site_label
_atom_site_type_symbol
_atom_site_fract_x
_atom_site_fract_y
_atom_site_fract_z
Pm1 Pm 0.236 0.236 0.292
Pm2 Pm 0.764 0.764 0.708
Pr1 Pr 0.710 0.710 0.869
Pr2 Pr 0.290 0.290 0.131
Pr3 Pr 0.142 0.142 0.574
Pr4 Pr 0.858 0.858 0.426
Th1 Th 0.000 0.000 0.000
```

Summary:
Space group: R-3m



The data favor arrangement b; the next most stable structure lies 146 meV/atom above it.